# LiHfAu2 (GGA-PBE, relaxed)
# ΔH_f (0 K)	0.041	eV per atom
# size of the total moment	0.00	μB/f.u.
data_LiHfAu2
_cell_length_a 4.2706
_cell_length_b 4.2706
_cell_length_c 17.5305
_cell_angle_alpha 90.00
_cell_angle_beta 90.00
_cell_angle_gamma 90.00
_space_group_name_H-M_alt 'I -4 2 d'
_space_group_IT_number 122
_space_group_name_Hall 'I -4 2bw'
loop_
_atom_site_label
_atom_site_type_symbol
_atom_site_fract_x
_atom_site_fract_y
_atom_site_fract_z
Li1 Li 0.0000 0.0000 0.0000
Hf1 Hf 0.0000 0.0000 0.5000
Au1 Au 0.2145 0.2500 0.1250